# 1
ZrTlNi2 | PBE | optimized geometry

## Properties
- Formation enthalpy at 0 K: -2.01 kJ/mol of atoms

Geometry as CIF:
```
data_ZrTlNi2
_symmetry_space_group_name_H-M 'P 1'
_symmetry_Int_Tables_number 1
_cell_length_a 4.916
_cell_length_b 4.916
_cell_length_c 4.467
_cell_angle_alpha 104.86
_cell_angle_beta 104.86
_cell_angle_gamma 40.54
loop_
_symmetry_equiv_pos_as_xyz
'x,y,z'
loop_
_atom_site_label
_atom_site_type_symbol
_atom_site_fract_x
_atom_site_fract_y
_atom_site_fract_z
Zr1 Zr 0.000 0.000 0.000
Tl1 Tl 0.235 0.235 0.653
Ni1 Ni 0.491 0.491 0.461
Ni2 Ni 0.741 0.741 0.171
```


# 2
YCd2Ru | PBE | optimized geometry

## Properties
- Formation enthalpy at 0 K: -7.26 kJ/mol of atoms

Geometry as CIF:
```
data_YCd2Ru
_symmetry_space_group_name_H-M 'P 1'
_symmetry_Int_Tables_number 1
_cell_length_a 4.125
_cell_length_b 4.125
_cell_length_c 4.829
_cell_angle_alpha 90.00
_cell_angle_beta 90.00
_cell_angle_gamma 90.00
loop_
_symmetry_equiv_pos_as_xyz
'x,y,z'
loop_
_atom_site_label
_atom_site_type_symbol
_atom_site_fract_x
_atom_site_fract_y
_atom_site_fract_z
Y1 Y 0.000 0.000 0.000
Cd1 Cd 0.000 0.500 0.500
Cd2 Cd 0.500 0.000 0.500
Ru1 Ru 0.500 0.500 0.000
```


# 3
DyTmZnPb | PBE | optimized geometry

## Properties
- Formation enthalpy at 0 K: -33.02 kJ/mol of atoms

Geometry as CIF:
```
data_DyTmZnPb
_symmetry_space_group_name_H-M 'P 1'
_symmetry_Int_Tables_number 1
_cell_length_a 5.208
_cell_length_b 5.208
_cell_length_c 5.208
_cell_angle_alpha 60.00
_cell_angle_beta 60.00
_cell_angle_gamma 60.00
loop_
_symmetry_equiv_pos_as_xyz
'x,y,z'
loop_
_atom_site_label
_atom_site_type_symbol
_atom_site_fract_x
_atom_site_fract_y
_atom_site_fract_z
Dy1 Dy 0.000 0.000 0.000
Tm1 Tm 0.500 0.500 0.500
Zn1 Zn 0.250 0.250 0.250
Pb1 Pb 0.750 0.750 0.750
```


# 4
Li3CaTl3I8 | PBE | optimized geometry

## Properties
- Formation energy from raw total energies: -15.69 eV per formula unit

Geometry as CIF:
```
data_Li3CaTl3I8
_symmetry_space_group_name_H-M 'P 1'
_symmetry_Int_Tables_number 1
_cell_length_a 9.606
_cell_length_b 9.606
_cell_length_c 9.606
_cell_angle_alpha 55.66
_cell_angle_beta 55.66
_cell_angle_gamma 55.66
loop_
_symmetry_equiv_pos_as_xyz
'x,y,z'
loop_
_atom_site_label
_atom_site_type_symbol
_atom_site_fract_x
_atom_site_fract_y
_atom_site_fract_z
Li1 Li 0.000 0.500 0.500
Li2 Li 0.500 0.000 0.500
Li3 Li 0.500 0.500 0.000
Ca1 Ca 0.000 0.000 0.000
Tl1 Tl 0.000 0.000 0.500
Tl2 Tl 0.000 0.500 0.000
Tl3 Tl 0.500 0.000 0.000
I1 I 0.241 0.241 0.728
I2 I 0.241 0.728 0.241
I3 I 0.265 0.265 0.265
I4 I 0.272 0.759 0.759
I5 I 0.728 0.241 0.241
I6 I 0.735 0.735 0.735
I7 I 0.759 0.272 0.759
I8 I 0.759 0.759 0.272
```


# 5
SrInFe2Ir | PBE | optimized geometry

## Properties
- Formation enthalpy at 0 K: 97.10 kJ/mol of atoms

Geometry as CIF:
```
data_SrInFe2Ir
_symmetry_space_group_name_H-M 'P 1'
_symmetry_Int_Tables_number 1
_cell_length_a 4.605
_cell_length_b 4.605
_cell_length_c 5.583
_cell_angle_alpha 90.00
_cell_angle_beta 90.00
_cell_angle_gamma 90.00
loop_
_symmetry_equiv_pos_as_xyz
'x,y,z'
loop_
_atom_site_label
_atom_site_type_symbol
_atom_site_fract_x
_atom_site_fract_y
_atom_site_fract_z
Sr1 Sr 0.000 0.000 0.000
In1 In 0.500 0.500 0.000
Fe1 Fe 0.000 0.500 0.500
Fe2 Fe 0.500 0.000 0.500
Ir1 Ir 0.000 0.000 0.500
```


# 6
Sr3SnGe | PBE | optimized geometry

## Properties
- Formation enthalpy at 0 K: -24.30 kJ/mol of atoms

Geometry as CIF:
```
data_Sr3SnGe
_symmetry_space_group_name_H-M 'P 1'
_symmetry_Int_Tables_number 1
_cell_length_a 5.974
_cell_length_b 5.974
_cell_length_c 5.974
_cell_angle_alpha 90.00
_cell_angle_beta 90.00
_cell_angle_gamma 90.00
loop_
_symmetry_equiv_pos_as_xyz
'x,y,z'
loop_
_atom_site_label
_atom_site_type_symbol
_atom_site_fract_x
_atom_site_fract_y
_atom_site_fract_z
Sr1 Sr 0.000 0.000 0.500
Sr2 Sr 0.000 0.500 0.000
Sr3 Sr 0.500 0.000 0.000
Sn1 Sn 0.500 0.500 0.500
Ge1 Ge 0.000 0.000 0.000
```


| no. | total magnetic moment (μB/atom) |
| --- | --- |
| 1 | 0.0000 |
| 2 | 0.0000 |
| 3 | 0.0000 |
| 4 | 0.0000 |
| 5 | 0.0731 |
| 6 | 0.1731 |